1.
The following is a DFT calculation (PBEsol) of a geometry-optimized CdW2Au structure.

The space group is I4/mmm (No. 139) and the conventional cell measures 3.8593, 3.8593 and 8.8312 Å, with angles of 90.00, 90.00 and 90.00 degrees. The distinct sites, in fractional coordinates, are Cd at (0.0000, 0.0000, 0.0000), W at (0.0000, 0.5000, 0.2500) and Au at (0.0000, 0.0000, 0.5000).



2.
The following is a DFT calculation (PBEsol) of a geometry-optimized CdW2Au structure.

The space group is P4/mmm (No. 123) and the conventional cell measures 3.8522, 3.8522 and 4.4474 Å, with angles of 90.00, 90.00 and 90.00 degrees. The distinct sites, in fractional coordinates, are Cd at (0.0000, 0.0000, 0.0000), W at (0.0000, 0.5000, 0.5000) and Au at (0.5000, 0.5000, 0.0000).



3.
The following is a DFT calculation (PBEsol) of a geometry-optimized Cd2WAu structure.

The space group is I-4m2 (No. 119) and the conventional cell measures 4.1534, 4.1534 and 8.1945 Å, with angles of 90.00, 90.00 and 90.00 degrees. The distinct sites, in fractional coordinates, are Cd at (0.0000, 0.0000, 0.0000), Cd at (0.0000, 0.5000, 0.2500), W at (0.0000, 0.0000, 0.5000) and Au at (0.0000, 0.5000, 0.7500).



4.
The following is a DFT calculation (PBEsol) of a geometry-optimized Cd2WAu structure.

The space group is P4/mmm (No. 123) and the conventional cell measures 4.9710, 4.9710 and 2.8827 Å, with angles of 90.00, 90.00 and 90.00 degrees. The distinct sites, in fractional coordinates, are Cd at (0.0000, 0.5000, 0.0000), W at (0.0000, 0.0000, 0.5000) and Au at (0.5000, 0.5000, 0.5000).



Calculated formation energy per entry: 0.474, 0.489, 0.645, 0.558 eV/atom